The following is a PBE calculation of an optimized crystal structure of Ce2As4Pt3Rh, from the Alexandria database.

Cell: 4.4505 4.4505 9.8183 Å, 90.00 90.00 90.00°
With the nearest neighbours (Å) after each atom.
Space group P-4m2 (No. 115)
Unique sites:
Ce (0.0000, 0.5000, 0.2473) x2  2 Rh 3.29, 7 Pt 3.29-3.68, 9 As 3.33-3.68
As (0.0000, 0.0000, 0.5000) x1  4 Pt 2.53
As (0.0000, 0.5000, 0.8722) x2  3 Pt 2.46-2.55, 2 Rh 2.55
As (0.5000, 0.5000, 0.5000) x1  4 Pt 2.53
Pt (0.0000, 0.0000, 0.0000) x1  4 As 2.55
Pt (0.0000, 0.5000, 0.6217) x2  5 As 2.46-2.53
Rh (0.5000, 0.5000, 0.0000) x1  4 As 2.55

Summary:
uncorrected energy	-6.4533	eV per atom
spin magnetization	1.6	μB/cell
formation enthalpy at 0 K	-859	meV/atom



The following is a PBE calculation of an optimized crystal structure of KNa12Tl3, from the Alexandria database.

Cell: 5.3281 5.3281 19.2135 Å, 90.00 90.00 90.00°
With the nearest neighbours (Å) after each atom.
Space group P4/mmm (No. 123)
Unique sites:
K (0.0000, 0.0000, 0.0000) x1  12 Na 3.77-4.02
Na (0.0000, 0.5000, 0.1568) x4  2 Tl 3.43, 6 Na 3.43-3.77
Na (0.0000, 0.5000, 0.3844) x4  8 Na 3.46-3.77, 4 Tl 3.46-3.47
Na (0.5000, 0.5000, 0.0000) x1  4 K 3.77, 8 Na 4.02
Na (0.5000, 0.5000, 0.2696) x2  8 Na 3.43-3.46, 4 Tl 3.77
Na (0.5000, 0.5000, 0.5000) x1  8 Na 3.47, 4 Tl 3.77
Tl (0.0000, 0.0000, 0.2695) x2  12 Na 3.43-3.77
Tl (0.0000, 0.0000, 0.5000) x1  12 Na 3.47-3.77

Summary:
uncorrected energy	-1.5462	eV per atom
spin magnetization	0.0	μB/cell
formation enthalpy at 0 K	-45	meV/atom



The following is a PBE calculation of an optimized crystal structure of Na3CaIn8, from the Alexandria database.

Cell: 6.2355 6.2355 9.9736 Å, 90.00 90.00 120.00°
With the nearest neighbours (Å) after each atom.
Space group P3m1 (No. 156)
Unique sites:
Na (0.0000, 0.0000, 0.0000) x1  4 Na 3.60-3.81, 12 In 3.62-3.65
Na (0.0000, 0.0000, 0.3606) x1  12 In 3.58-3.67, 1 Na 3.60, 3 Ca 3.85
Na (0.3333, 0.6667, 0.8746) x1  12 In 3.54-3.66, 1 Ca 3.75, 3 Na 3.81
Ca (0.3333, 0.6667, 0.4988) x1  12 In 3.59-3.66, 4 Na 3.75-3.85
In (0.0105, 0.5052, 0.1840) x3  6 In 3.02-3.22
In (0.3245, 0.1623, 0.6823) x3  6 In 3.04-3.20
In (0.6667, 0.3333, 0.4302) x1  6 In 3.08-3.12
In (0.6667, 0.3333, 0.9373) x1  6 In 3.08-3.14

Summary:
uncorrected energy	-2.5037	eV per atom
spin magnetization	0.0	μB/cell
formation enthalpy at 0 K	-181	meV/atom



The following is a PBE calculation of an optimized crystal structure of YTe2Se, from the Alexandria database.

Cell: 4.4979 5.2171 5.3847 Å, 90.00 106.66 90.00°
With the nearest neighbours (Å) after each atom.
Space group Pm (No. 6)
Unique sites:
Y (0.0000, 0.0000, 0.0000) x1  2 Se 2.87, 2 Te 3.04-3.05
Te (0.3381, 0.5000, 0.8083) x1  2 Se 2.68-3.00
Te (0.6714, 0.0000, 0.4201) x1  3 Y 3.04-3.21
Se (0.1262, 0.5000, 0.2261) x1  2 Te 2.68-3.00, 2 Y 2.87

Summary:
uncorrected energy	-4.8241	eV per atom
spin magnetization	0.0	μB/cell
E_form (uncorrected)	-295.7	kJ/mol of formula units



The following is a PBE calculation of an optimized crystal structure of CsTm2Se3, from the Alexandria database.

Cell: 7.7598 4.1085 11.0885 Å, 90.00 103.65 90.00°
With the nearest neighbours (Å) after each atom.
Space group P2_1/m (No. 11)
Unique sites:
Cs (0.0278, 0.2500, 0.3424) x2  6 Se 3.41-3.44
Tm (0.2659, 0.2500, 0.9942) x2  5 Se 2.81-2.92
Tm (0.4988, 0.7500, 0.3153) x2  6 Se 2.82-2.99
Se (0.1533, 0.7500, 0.1327) x2  3 Tm 2.82-2.95
Se (0.3325, 0.7500, 0.5265) x2  3 Tm 2.82-2.93
Se (0.3925, 0.7500, 0.8483) x2  5 Tm 2.81-2.99

Summary:
uncorrected energy	-4.9132	eV per atom
spin magnetization	0.0	μB/cell
E_form (uncorrected)	-890.5	kJ/mol of formula units



The following is a PBE calculation of an optimized crystal structure of Y3Al2Tl, from the Alexandria database.

Cell: 3.6378 3.6378 11.2880 Å, 90.00 90.00 90.00°
With the nearest neighbours (Å) after each atom.
Space group P4/mmm (No. 123)
Unique sites:
Y (0.0000, 0.0000, 0.0000) x1  8 Al 3.14
Y (0.0000, 0.0000, 0.3183) x2  4 Al 3.14, 4 Tl 3.29
Al (0.5000, 0.5000, 0.1590) x2  8 Y 3.14
Tl (0.5000, 0.5000, 0.5000) x1  8 Y 3.29, 4 Tl 3.64

Summary:
uncorrected energy	-5.2747	eV per atom
spin magnetization	0.0	μB/cell
formation enthalpy at 0 K	-401	meV/atom



The following is a PBE calculation of an optimized crystal structure of TaPPb3, from the Alexandria database.

Cell: 5.5098 5.5098 5.5098 Å, 90.00 90.00 90.00°
With the nearest neighbours (Å) after each atom.
Space group Pm-3m (No. 221)
Unique sites:
Ta (0.0000, 0.0000, 0.0000) x1  6 Pb 2.75
P (0.5000, 0.5000, 0.5000) x1  12 Pb 3.90
Pb (0.0000, 0.0000, 0.5000) x3  2 Ta 2.75

Summary:
uncorrected energy	-4.7004	eV per atom
spin magnetization	2.8	μB/cell
E above lowest polymorph	0.00	eV/f.u.
formation enthalpy at 0 K	977	meV/atom



The following is a PBE calculation of an optimized crystal structure of La3AlS6, from the Alexandria database.

Cell: 11.1859 13.9691 6.7223 Å, 90.00 90.00 90.00°
With the nearest neighbours (Å) after each atom.
Space group Cmc2_1 (No. 36)
Unique sites:
La (0.0000, 0.1041, 0.0000) x4  7 S 2.88-3.16
La (0.1861, 0.3980, 0.0678) x8  6 S 2.80-3.12
Al (0.0000, 0.3041, 0.6166) x4  4 S 2.27-2.30
S (0.0000, 0.2858, 0.2807) x4  1 Al 2.27
S (0.0000, 0.4566, 0.7450) x4  1 Al 2.30
S (0.1592, 0.2386, 0.7751) x8  1 Al 2.27
S (0.1605, 0.0201, 0.2854) x8  4 La 2.80-2.88

Summary:
uncorrected energy	-6.2796	eV per atom
spin magnetization	0.0	μB/cell
E_form (uncorrected)	-1882.1	kJ/mol of formula units



The following is a PBE calculation of an optimized crystal structure of Sr5Hg2Ir2, from the Alexandria database.

Cell: 17.0752 8.1424 8.1701 Å, 90.00 90.00 90.00°
With the nearest neighbours (Å) after each atom.
Space group Cmce (No. 64)
Unique sites:
Sr (0.0000, 0.0000, 0.0000) x4  4 Ir 3.29-3.30, 2 Hg 3.65, 8 Sr 3.65-3.66
Sr (0.1209, 0.1740, 0.3267) x16  3 Ir 3.15-3.22, 3 Hg 3.40-3.46
Hg (0.2136, 0.0000, 0.0000) x8  7 Sr 3.40-3.65
Ir (0.0000, 0.1122, 0.6125) x8  1 Ir 2.59

Summary:
uncorrected energy	-3.2742	eV per atom
spin magnetization	0.0	μB/cell
formation enthalpy at 0 K	-304	meV/atom



The following is a PBE calculation of an optimized crystal structure of BaY2Tl, from the Alexandria database.

Cell: 7.9976 7.9976 7.9976 Å, 90.00 90.00 90.00°
With the nearest neighbours (Å) after each atom.
Space group Fm-3m (No. 225)
Unique sites:
Ba (0.0000, 0.0000, 0.0000) x4  8 Y 3.46
Y (0.2500, 0.2500, 0.2500) x8  4 Ba 3.46, 4 Tl 3.46
Tl (0.0000, 0.0000, 0.5000) x4  8 Y 3.46

Summary:
uncorrected energy	-4.1851	eV per atom
spin magnetization	9.2	μB/cell
E above lowest polymorph	0.89	eV/f.u.
formation enthalpy at 0 K	119	meV/atom



The following is a PBE calculation of an optimized crystal structure of Tb6Pr2Sm3Er, from the Alexandria database.

Cell: 6.2352 10.7933 11.9146 Å, 90.00 100.01 90.00°
With the nearest neighbours (Å) after each atom.
Space group C2/m (No. 12)
Unique sites:
Tb (0.2486, 0.0000, 0.2492) x4  3 Sm 3.58-3.59, 6 Tb 3.59-3.61, 1 Er 3.60, 2 Pr 3.60
Tb (0.2496, 0.1661, 0.7505) x8  6 Tb 3.59-3.61, 3 Sm 3.59, 1 Er 3.60, 2 Pr 3.60
Pr (0.0000, 0.3335, 0.5000) x4  3 Pr 3.59-3.60, 3 Er 3.60, 6 Tb 3.60
Sm (0.0000, 0.1666, 0.0000) x4  6 Tb 3.58-3.59, 6 Sm 3.60
Sm (0.0000, 0.5000, 0.0000) x2  6 Tb 3.59, 6 Sm 3.60
Er (0.0000, 0.0000, 0.5000) x2  6 Tb 3.60, 6 Pr 3.60

Summary:
uncorrected energy	-4.6581	eV per atom
spin magnetization	0.0	μB/cell
formation enthalpy at 0 K	14	meV/atom



The following is a PBE calculation of an optimized crystal structure of Na5Cu, from the Alexandria database.

Cell: 4.9057 14.4090 4.9365 Å, 90.00 90.00 90.00°
With the nearest neighbours (Å) after each atom.
Space group Cmmm (No. 65)
Unique sites:
Na (0.0000, 0.0000, 0.0000) x2  8 Na 3.28, 4 Cu 3.48
Na (0.0000, 0.1501, 0.5000) x4  2 Cu 3.27, 6 Na 3.28-3.48
Na (0.0000, 0.3490, 0.0000) x4  6 Na 3.28-3.48, 2 Cu 3.29
Cu (0.0000, 0.5000, 0.5000) x2  12 Na 3.27-3.48

Summary:
uncorrected energy	-1.6259	eV per atom
spin magnetization	0.0	μB/cell
formation enthalpy at 0 K	156	meV/atom



The following is a PBE calculation of an optimized crystal structure of Mg2ScMnSe, from the Alexandria database.

Cell: 4.9864 4.9864 5.0380 Å, 90.00 90.00 90.00°
With the nearest neighbours (Å) after each atom.
Space group P4/mmm (No. 123)
Unique sites:
Mg (0.0000, 0.5000, 0.0000) x2  2 Se 2.49
Sc (0.0000, 0.0000, 0.5000) x1  2 Se 2.52
Mn (0.5000, 0.5000, 0.5000) x1  4 Sc 3.53, 8 Mg 3.54
Se (0.0000, 0.0000, 0.0000) x1  4 Mg 2.49, 2 Sc 2.52

Summary:
uncorrected energy	-4.2478	eV per atom
spin magnetization	4.1	μB/cell
E_form (uncorrected)	90.3	kJ/mol of formula units



The following is a PBE calculation of an optimized crystal structure of NbNi4Mo, from the Alexandria database.

Cell: 6.7316 6.7316 6.7316 Å, 90.00 90.00 90.00°
With the nearest neighbours (Å) after each atom.
Space group F-43m (No. 216)
Unique sites:
Nb (0.0000, 0.0000, 0.0000) x4  12 Ni 2.79, 4 Mo 2.91
Ni (0.1245, 0.1245, 0.6245) x16  6 Ni 2.37-2.39
Mo (0.2500, 0.2500, 0.2500) x4  12 Ni 2.79, 4 Nb 2.91

Summary:
uncorrected energy	-7.4362	eV per atom
spin magnetization	4.6	μB/cell
formation enthalpy at 0 K	-98	meV/atom



The following is a PBE calculation of an optimized crystal structure of ErAl3Fe, from the Alexandria database.

Cell: 5.7393 11.7464 5.2220 Å, 90.00 90.00 90.00°
With the nearest neighbours (Å) after each atom.
Space group Cmcm (No. 63)
Unique sites:
Er (0.0000, 0.1018, 0.2500) x4  8 Al 3.00-3.13
Al (0.0000, 0.3230, 0.7500) x4  2 Fe 2.45, 2 Al 2.69
Al (0.2392, 0.3674, 0.2500) x8  2 Fe 2.45, 2 Al 2.69-2.75
Fe (0.0000, 0.5000, 0.0000) x4  6 Al 2.45, 2 Fe 2.61

Summary:
uncorrected energy	-5.1773	eV per atom
spin magnetization	5.0	μB/cell
E above lowest polymorph	0.00	eV/f.u.
formation enthalpy at 0 K	-327	meV/atom



The following is a PBE calculation of an optimized crystal structure of SmTh2Mo, from the Alexandria database.

Cell: 3.5016 3.5016 32.9959 Å, 90.00 90.00 120.00°
With the nearest neighbours (Å) after each atom.
Space group R-3m (No. 166, hexagonal axes)
Unique sites:
Sm (0.0000, 0.0000, 0.0000) x3  2 Th 3.30, 6 Sm 3.50
Th (0.0000, 0.0000, 0.1001) x6  3 Mo 2.98, 1 Sm 3.30
Mo (0.0000, 0.0000, 0.5000) x3  6 Th 2.98

Summary:
uncorrected energy	-7.1314	eV per atom
spin magnetization	0.0	μB/cell
E above lowest polymorph	1.18	eV/f.u.
formation enthalpy at 0 K	466	meV/atom



The following is a PBE calculation of an optimized crystal structure of KSc2Pb, from the Alexandria database.

Cell: 7.7114 7.7114 7.7114 Å, 90.00 90.00 90.00°
With the nearest neighbours (Å) after each atom.
Space group F-43m (No. 216)
Unique sites:
K (0.0000, 0.0000, 0.0000) x4  4 Pb 3.34, 4 Sc 3.34
Sc (0.0000, 0.0000, 0.5000) x4  4 Pb 3.34, 4 Sc 3.34
Sc (0.2500, 0.2500, 0.2500) x4  4 K 3.34, 4 Sc 3.34
Pb (0.2500, 0.2500, 0.7500) x4  4 K 3.34, 4 Sc 3.34

Summary:
uncorrected energy	-4.0553	eV per atom
spin magnetization	9.1	μB/cell
formation enthalpy at 0 K	312	meV/atom



The following is a PBE calculation of an optimized crystal structure of LaMnSb3, from the Alexandria database.

Cell: 5.9712 5.9712 5.9712 Å, 90.00 90.00 90.00°
With the nearest neighbours (Å) after each atom.
Space group Pm-3m (No. 221)
Unique sites:
La (0.0000, 0.0000, 0.0000) x1  6 Sb 2.99
Mn (0.5000, 0.5000, 0.5000) x1  12 Sb 4.22
Sb (0.0000, 0.0000, 0.5000) x3  2 La 2.99

Summary:
uncorrected energy	-3.7824	eV per atom
spin magnetization	0.8	μB/cell
E_form (uncorrected)	728.7	kJ/mol of formula units



The following is a PBE calculation of an optimized crystal structure of Th6Os3C2Se, from the Alexandria database.

Cell: 18.1873 4.0906 7.9742 Å, 90.00 110.81 90.00°
With the nearest neighbours (Å) after each atom.
Space group C2/m (No. 12)
Unique sites:
Th (0.0272, 0.0000, 0.2866) x4  1 C 2.53, 2 Os 2.81
Th (0.1740, 0.5000, 0.0614) x4  2 C 2.83, 3 Os 2.99-3.06, 1 Se 3.02
Th (0.1837, 0.5000, 0.5735) x4  1 C 2.51, 2 Os 2.81
Os (0.0000, 0.5000, 0.5000) x2  4 Th 2.81
Os (0.1464, 0.0000, 0.7713) x4  6 Th 2.81-3.06
C (0.1684, 0.0000, 0.3012) x4  2 Th 2.51-2.53
Se (0.0000, 0.5000, 0.0000) x2  6 Th 2.97-3.02

Summary:
uncorrected energy	-8.6847	eV per atom
spin magnetization	0.0	μB/cell
E_form (uncorrected)	-393.2	kJ/mol of formula units